<P>
Entry from Alexandria via LeMat-Bulk: a geometry-optimized CsGe2Cl structure (GGA-PBE).

It has space group Fm-3m (No. 225), with a = 7.7841 Å, b = 7.7841 Å, c = 7.7841 Å, α = 90.00°, β = 90.00° and γ = 90.00°. Symmetry generates all atoms from Cs at (0.0000, 0.0000, 0.0000), Ge at (0.2500, 0.2500, 0.2500) and Cl at (0.0000, 0.0000, 0.5000).

<Q>
Entry from Alexandria via LeMat-Bulk: a geometry-optimized CsGe2Cl structure (GGA-PBE).

It has space group I-42d (No. 122), with a = 4.9253 Å, b = 4.9253 Å, c = 23.6293 Å, α = 90.00°, β = 90.00° and γ = 90.00°. Symmetry generates all atoms from Cs at (0.0000, 0.0000, 0.0000), Ge at (0.0371, 0.2500, 0.6250) and Cl at (0.0000, 0.0000, 0.5000).

Name the least stable of them. <P>.

<P>
Entry from Alexandria via LeMat-Bulk: a geometry-optimized Cs2GeCl structure (GGA-PBE).

It has space group Fm-3m (No. 225), with a = 8.8884 Å, b = 8.8884 Å, c = 8.8884 Å, α = 90.00°, β = 90.00° and γ = 90.00°. Symmetry generates all atoms from Cs at (0.2500, 0.2500, 0.2500), Ge at (0.0000, 0.0000, 0.0000) and Cl at (0.0000, 0.0000, 0.5000).

<Q>
Entry from Alexandria via LeMat-Bulk: a geometry-optimized Cs2GeCl structure (GGA-PBE).

It has space group I-42d (No. 122), with a = 9.3794 Å, b = 9.3794 Å, c = 10.8358 Å, α = 90.00°, β = 90.00° and γ = 90.00°. Symmetry generates all atoms from Cs at (0.2138, 0.2500, 0.1250), Ge at (0.0000, 0.0000, 0.5000) and Cl at (0.0000, 0.0000, 0.0000).

Name the least stable of them. <Q>.

<P>
Entry from Alexandria via LeMat-Bulk: a geometry-optimized CsGeCl4 structure (GGA-PBE).

It has space group Cm (No. 8), with a = 9.1449 Å, b = 7.9015 Å, c = 7.1298 Å, α = 90.00°, β = 109.40° and γ = 90.00°. Symmetry generates all atoms from Cs at (0.0000, 0.0000, 0.0000), Ge at (0.4641, 0.0000, 0.5325), Cl at (0.1430, 0.2933, 0.7096) and Cl at (0.3583, 0.2055, 0.2882).

<Q>
Entry from Alexandria via LeMat-Bulk: a geometry-optimized CsGeCl4 structure (GGA-PBE).

It has space group Cmcm (No. 63), with a = 5.1136 Å, b = 19.5118 Å, c = 7.5249 Å, α = 90.00°, β = 90.00° and γ = 90.00°. Symmetry generates all atoms from Cs at (0.0000, 0.1060, 0.2500), Ge at (0.0000, 0.4019, 0.2500), Cl at (0.0000, 0.0829, 0.7500), Cl at (0.0000, 0.3218, 0.0286) and Cl at (0.0000, 0.5000, 0.0000).

Name the least stable of them. <P>.

<P>
Entry from Alexandria via LeMat-Bulk: a geometry-optimized Cs2Ge2Cl5 structure (GGA-PBE).

It has space group Amm2 (No. 38), with a = 8.9934 Å, b = 8.1716 Å, c = 7.9987 Å, α = 90.00°, β = 90.00° and γ = 90.00°. Symmetry generates all atoms from Cs at (0.0000, 0.0000, 0.0000), Cs at (0.5000, 0.0000, 0.0076), Ge at (0.1985, 0.0000, 0.4923), Cl at (0.2246, 0.2153, 0.2897) and Cl at (0.5000, 0.0000, 0.5401).

<Q>
Entry from Alexandria via LeMat-Bulk: a geometry-optimized Cs2Ge2Cl5 structure (GGA-PBE).

It has space group C2/m (No. 12), with a = 15.9342 Å, b = 5.8812 Å, c = 7.4054 Å, α = 90.00°, β = 112.45° and γ = 90.00°. Symmetry generates all atoms from Cs at (0.0954, 0.0000, 0.3166), Ge at (0.1700, 0.5000, 0.9244), Cl at (0.0000, 0.5000, 0.0000), Cl at (0.1476, 0.0000, 0.8945) and Cl at (0.1661, 0.5000, 0.5987).

Name the least stable of them. <Q>.

<P>
Entry from Alexandria via LeMat-Bulk: a geometry-optimized CsGeP2Cl structure (GGA-PBE).

It has space group P4/mmm (No. 123), with a = 4.7520 Å, b = 4.7520 Å, c = 6.6360 Å, α = 90.00°, β = 90.00° and γ = 90.00°. Symmetry generates all atoms from Cs at (0.0000, 0.0000, 0.0000), Ge at (0.5000, 0.5000, 0.5000), P at (0.0000, 0.5000, 0.5000) and Cl at (0.5000, 0.5000, 0.0000).

<Q>
Entry from Alexandria via LeMat-Bulk: a geometry-optimized CsGeP2Cl structure (GGA-PBE).

It has space group P4/mmm (No. 123), with a = 5.8205 Å, b = 5.8205 Å, c = 5.9946 Å, α = 90.00°, β = 90.00° and γ = 90.00°. Symmetry generates all atoms from Cs at (0.0000, 0.0000, 0.0000), Ge at (0.5000, 0.5000, 0.5000), P at (0.0000, 0.5000, 0.0000) and Cl at (0.0000, 0.0000, 0.5000).

Name the least stable of them. <Q>.

<P>
Entry from Alexandria via LeMat-Bulk: a geometry-optimized CsGeSCl2 structure (GGA-PBE).

It has space group P4/mmm (No. 123), with a = 6.0559 Å, b = 6.0559 Å, c = 5.5426 Å, α = 90.00°, β = 90.00° and γ = 90.00°. Symmetry generates all atoms from Cs at (0.0000, 0.0000, 0.0000), Ge at (0.5000, 0.5000, 0.5000), S at (0.0000, 0.0000, 0.5000) and Cl at (0.0000, 0.5000, 0.0000).

<Q>
Entry from Alexandria via LeMat-Bulk: a geometry-optimized CsGeSCl2 structure (GGA-PBE).

It has space group P4/mmm (No. 123), with a = 5.4374 Å, b = 5.4374 Å, c = 4.6721 Å, α = 90.00°, β = 90.00° and γ = 90.00°. Symmetry generates all atoms from Cs at (0.0000, 0.0000, 0.0000), Ge at (0.5000, 0.5000, 0.5000), S at (0.5000, 0.5000, 0.0000) and Cl at (0.0000, 0.5000, 0.5000).

Name the least stable of them. <P>.

<P>
Entry from Alexandria via LeMat-Bulk: a geometry-optimized Cs2HCl structure (GGA-PBE).

It has space group Immm (No. 71), with a = 8.7992 Å, b = 11.9508 Å, c = 12.5230 Å, α = 90.00°, β = 90.00° and γ = 90.00°. Symmetry generates all atoms from Cs at (0.0000, 0.2311, 0.0000), H at (0.0000, 0.0000, 0.0000) and Cl at (0.0000, 0.5000, 0.0000).

<Q>
Entry from Alexandria via LeMat-Bulk: a geometry-optimized Cs2HCl structure (GGA-PBE).

It has space group I-42d (No. 122), with a = 7.6162 Å, b = 7.6162 Å, c = 13.7558 Å, α = 90.00°, β = 90.00° and γ = 90.00°. Symmetry generates all atoms from Cs at (0.2115, 0.2500, 0.1250), H at (0.0000, 0.0000, 0.0000) and Cl at (0.0000, 0.0000, 0.5000).

<R>
Entry from Alexandria via LeMat-Bulk: a geometry-optimized Cs2HCl structure (GGA-PBE).

It has space group P4/mmm (No. 123), with a = 4.0556 Å, b = 4.0556 Å, c = 8.1482 Å, α = 90.00°, β = 90.00° and γ = 90.00°. Symmetry generates all atoms from Cs at (0.0000, 0.0000, 0.2381), H at (0.5000, 0.5000, 0.0000) and Cl at (0.5000, 0.5000, 0.5000).

<S>
Entry from Alexandria via LeMat-Bulk: a geometry-optimized Cs2HCl structure (GGA-PBE).

It has space group R3m (No. 160, hexagonal axes), with a = 4.6783 Å, b = 4.6783 Å, c = 24.3752 Å, α = 90.00°, β = 90.00° and γ = 120.00°. Symmetry generates all atoms from Cs at (0.0000, 0.0000, 0.0000), Cs at (0.0000, 0.0000, 0.1818), H at (0.0000, 0.0000, 0.5914) and Cl at (0.0000, 0.0000, 0.4239).

Name the least stable of them. <P>.

<P>
Entry from Alexandria via LeMat-Bulk: a geometry-optimized Cs2HCl structure (GGA-PBE).

It has space group R-3m (No. 166, hexagonal axes), with a = 4.7835 Å, b = 4.7835 Å, c = 23.5681 Å, α = 90.00°, β = 90.00° and γ = 120.00°. Symmetry generates all atoms from Cs at (0.0000, 0.0000, 0.2429), H at (0.0000, 0.0000, 0.5000) and Cl at (0.0000, 0.0000, 0.0000).

<Q>
Entry from Alexandria via LeMat-Bulk: a geometry-optimized Cs2HCl structure (GGA-PBE).

It has space group Fm-3m (No. 225), with a = 8.1703 Å, b = 8.1703 Å, c = 8.1703 Å, α = 90.00°, β = 90.00° and γ = 90.00°. Symmetry generates all atoms from Cs at (0.2500, 0.2500, 0.2500), H at (0.0000, 0.0000, 0.0000) and Cl at (0.0000, 0.0000, 0.5000).

Name the least stable of them. <Q>.